# 1
A plane-wave DFT calculation with SCAN was carried out for a crystal of TiAuF2 relaxed with PBEsol.

The structure belongs to space group I4_1/amd (No. 141, origin choice 2); the cell edges are 5.992, 5.992 and 8.928 Å and the angles 90.00°, 90.00° and 90.00°. Symmetry generates all atoms from Ti at (0.000, 0.250, 0.375), Au at (0.000, 0.250, 0.875) and F at (0.000, 0.000, 0.500).

The uncorrected formation energy is -1.735 eV/atom. The value obtained for the mass density is 5.86 Mg/m³.

---

# 2
A plane-wave DFT calculation with SCAN was carried out for a crystal of LaZnSb2Pd relaxed with PBEsol.

The structure belongs to space group P4/mmm (No. 123); the cell edges are 5.145, 5.145 and 4.659 Å and the angles 90.00°, 90.00° and 90.00°. Symmetry generates all atoms from La at (0.000, 0.000, 0.000), Zn at (0.500, 0.500, 0.500), Sb at (0.000, 0.500, 0.500) and Pd at (0.500, 0.500, 0.000).

The uncorrected formation energy is -0.329 eV/atom. The value obtained for the mass density is 7.46 Mg/m³.